First-principles (PBE) data for a geometry-optimized K2LiCe2Se6 structure, as listed in Alexandria.

Results
Magnetic moment ... 0.00 μB/f.u.
N(E_F) ... 1.72 states/eV/atom
Calculated total energy ... -103.27 eV for the cell shown

Unit cell a=7.2449 b=12.7179 c=8.1116 alpha=90.00 beta=106.42 gamma=90.00
Space group C2/m (No. 12)
Inequivalent atoms, fractional coordinates:
K  0.0000  0.1617  0.0000 x4
Li  0.0000  0.0000  0.5000 x2
Ce  0.0000  0.3347  0.5000 x4
Se  0.2298  0.5000  0.6962 x4
Se  0.2345  0.1729  0.6990 x8

=====

First-principles (PBE) data for a geometry-optimized MnAs2Ru structure, as listed in Alexandria.

Results
Magnetic moment ... 2.78 μB/f.u.
N(E_F) ... 0.53 states/eV/atom
ΔE to the lowest computed polymorph ... 204.7 meV per atom
Energy of formation ... 101 meV per atom
Calculated total energy ... -109.36 eV for the cell shown

Unit cell a=4.1329 b=4.1329 c=15.7626 alpha=90.00 beta=90.00 gamma=90.00
Space group I-42d (No. 122)
Inequivalent atoms, fractional coordinates:
Mn  0.0000  0.0000  0.0000 x4
As  0.2447  0.2500  0.6250 x8
Ru  0.0000  0.0000  0.5000 x4